Density functional theory data (PBE-GGA) for Mg2Ag3Hg3 after structural relaxation.

abc: 5.500 5.500 14.267
angles: 90.00 90.00 129.15
Positions (direct):
1 Mg 0.240 0.760 0.621
2 Mg 0.240 0.760 0.879
3 Mg 0.760 0.240 0.121
4 Mg 0.760 0.240 0.379
5 Ag 0.089 0.911 0.077
6 Ag 0.089 0.911 0.423
7 Ag 0.238 0.762 0.250
8 Ag 0.762 0.238 0.750
9 Ag 0.911 0.089 0.577
10 Ag 0.911 0.089 0.923
11 Hg 0.393 0.607 0.069
12 Hg 0.393 0.607 0.431
13 Hg 0.460 0.540 0.750
14 Hg 0.540 0.460 0.250
15 Hg 0.607 0.393 0.569
16 Hg 0.607 0.393 0.931

Properties
Calculated volume, Å³ per cell: 334.7
Size of the total moment, μB per cell: 0.000
Final energy, eV/f.u.: -13.007
N(E_F), states/eV per atom: 0.399
Distance to the lowest polymorph of the same formula, meV/atom: 17
Space group: Cmcm (63)